Computed, not measured: a geometry-optimized RbPuCo2O8 structure at the PBE with a Hubbard U level of DFT.

Output
**Total DFT energy (no corrections)**: -6.550 eV/atom
**Calculated volume**: 175.6 Å³ per cell

Cell and atoms, written as extended XYZ:
```
12
Lattice="-3.6592 3.6592 3.2786 3.6592 -3.6592 3.2786 3.6592 3.6592 -3.2786" Properties=species:S:1:pos:R:3 pbc="T T T"
Rb 0.0000 0.0000 0.0000
Pu 3.6592 0.0000 1.6393
Co 0.0000 0.0000 3.2786
Co 0.0000 3.6592 1.6393
O 1.9327 3.6592 -1.0558
O 1.7265 0.0000 2.2229
O 0.0000 2.4835 0.4358
O 3.6592 1.9327 1.0558
O 0.0000 4.8348 0.4358
O 0.0000 1.7265 4.3344
O -1.1757 3.6592 2.8428
O 1.1757 3.6592 2.8428
```